# 1
A geometry-optimized PuCuSnO6 structure, computed with PBE.

Lattice parameters (Å, degrees): 5.3899 5.3899 9.0835 90.00 90.00 120.00
With the nearest neighbours (Å) after each atom.
Element x y z (fractional)
O1 0.9940 0.6557 0.3719  1 Pu 2.07, 1 Sn 2.11, 1 Cu 2.18
O2 0.0060 0.6617 0.8719  1 Pu 2.07, 1 Sn 2.11, 1 Cu 2.18
O3 0.6557 0.6617 0.6281  1 Pu 2.07, 1 Sn 2.11, 1 Cu 2.18
O4 0.3383 0.3443 0.8719  1 Pu 2.07, 1 Sn 2.11, 1 Cu 2.18
O5 0.6617 0.0060 0.3719  1 Pu 2.07, 1 Sn 2.11, 1 Cu 2.18
O6 0.6557 0.9940 0.8719  1 Pu 2.07, 1 Sn 2.11, 1 Cu 2.18
O7 0.3383 0.9940 0.6281  1 Pu 2.07, 1 Sn 2.11, 1 Cu 2.18
O8 0.9940 0.3383 0.1281  1 Pu 2.07, 1 Sn 2.11, 1 Cu 2.18
O9 0.6617 0.6557 0.1281  1 Pu 2.07, 1 Sn 2.11, 1 Cu 2.18
O10 0.0060 0.3443 0.6281  1 Pu 2.07, 1 Sn 2.11, 1 Cu 2.18
O11 0.3443 0.0060 0.1281  1 Pu 2.07, 1 Sn 2.11, 1 Cu 2.18
O12 0.3443 0.3383 0.3719  1 Pu 2.07, 1 Sn 2.11, 1 Cu 2.18
Sn1 0.6667 0.3333 0.7500  6 O 2.11
Sn2 0.3333 0.6667 0.2500  6 O 2.11
Pu1 0.6667 0.3333 0.2500  6 O 2.07
Pu2 0.3333 0.6667 0.7500  6 O 2.07
Cu1 0.0000 0.0000 0.5000  6 O 2.18
Cu2 0.0000 0.0000 0.0000  6 O 2.18

Properties
Crystal system   trigonal
Theoretical density   7.59 Mg/m³
DFT total energy   -0.541 Ry/atom
Density of states at the Fermi level   6.94 states/eV/cell
Formation energy without anion corrections   -1566 meV per atom

# 2
A geometry-optimized Ac8Ni3Pd structure, computed with PBE.

Lattice parameters (Å, degrees): 8.7434 8.7435 8.3647 121.53 90.00 120.00
With the nearest neighbours (Å) after each atom.
Element x y z (fractional)
Ac1 0.2643 0.0135 0.7614  2 Ni 2.95-2.96, 1 Pd 3.05
Ac2 0.2510 0.5019 0.2386  2 Ni 2.95, 1 Pd 3.04
Ac3 0.7448 0.4896 0.2359  3 Ni 2.97-2.98
Ac4 0.2508 0.9865 0.2386  2 Ni 2.95-2.96, 1 Pd 3.05
Ac5 0.2552 0.5104 0.7641  3 Ni 2.97-2.98
Ac6 0.7357 0.9865 0.2386  2 Ni 2.95-2.96, 1 Pd 3.05
Ac7 0.7490 0.4980 0.7614  2 Ni 2.95, 1 Pd 3.04
Ac8 0.7492 0.0135 0.7614  2 Ni 2.95-2.96, 1 Pd 3.05
Ni1 0.5000 0.0000 0.0000  6 Ac 2.96-2.97
Ni2 0.5000 0.5000 0.0000  6 Ac 2.95-2.98
Ni3 0.0000 0.5000 0.0000  6 Ac 2.95-2.98
Pd1 0.0000 0.0000 0.0000  6 Ac 3.04-3.05

Properties
Crystal system   monoclinic
Theoretical density   7.89 Mg/m³
DFT total energy   -0.356 Ry/atom
Density of states at the Fermi level   13.80 states/eV/cell

# 3
A geometry-optimized TbNd2Zn4 structure, computed with PBE.

Lattice parameters (Å, degrees): 5.2384 5.2384 7.3901 110.76 110.76 90.00
With the nearest neighbours (Å) after each atom.
Element x y z (fractional)
Zn1 0.3950 0.8950 0.7900  1 Zn 2.69, 2 Tb 2.94, 2 Nd 3.01
Zn2 0.1050 0.6050 0.2100  1 Zn 2.69, 2 Tb 2.94, 2 Nd 3.01
Zn3 0.8950 0.3950 0.7900  1 Zn 2.69, 2 Tb 2.94, 2 Nd 3.01
Zn4 0.6050 0.1050 0.2100  1 Zn 2.69, 2 Tb 2.94, 2 Nd 3.01
Tb1 0.0000 0.0000 0.0000  8 Zn 2.94
Nd1 0.7204 0.7204 0.4407  4 Zn 3.01
Nd2 0.2796 0.2796 0.5593  4 Zn 3.01

Properties
Crystal system   tetragonal
Theoretical density   6.71 Mg/m³
DFT total energy   -0.213 Ry/atom
Density of states at the Fermi level   5.20 states/eV/cell

# 4
A geometry-optimized KGaC structure, computed with PBE.

Lattice parameters (Å, degrees): 6.4507 6.4126 4.6296 90.51 69.60 120.25
With the nearest neighbours (Å) after each atom.
Element x y z (fractional)
Ga1 0.4834 0.9335 0.4579  2 C 2.39-2.52, 1 Ga 2.55
Ga2 0.3797 0.6980 0.0305  2 C 2.02-2.17
C1 0.4594 0.5374 0.3566  1 C 1.29
C2 0.4550 0.5666 0.6345  1 C 1.29
K1 0.1002 0.0623 0.1528  2 C 3.15-3.21, 2 Ga 3.36-3.48
K2 0.8094 0.4381 0.8011  2 C 3.08-3.10

Properties
Crystal system   triclinic
Theoretical density   2.64 Mg/m³
DFT total energy   -0.302 Ry/atom
Density of states at the Fermi level   0.00 states/eV/cell

# 5
A geometry-optimized KBaB2F8 structure, computed with PBE.

Lattice parameters (Å, degrees): 5.3724 5.3724 8.5988 71.80 71.80 60.00
With the nearest neighbours (Å) after each atom.
Element x y z (fractional)
Ba1 0.0000 0.0000 0.0000  12 F 3.04
B1 0.7464 0.7464 0.7608  4 F 1.39-1.43
B2 0.2536 0.2536 0.2392  4 F 1.39-1.43
K1 0.5000 0.5000 0.5000  12 F 3.15-3.18
F1 0.1958 0.1958 0.4127  1 B 1.39
F2 0.5814 0.0120 0.8252  1 B 1.43
F3 0.8042 0.8042 0.5873  1 B 1.39
F4 0.5814 0.5814 0.8252  1 B 1.43
F5 0.4186 0.4186 0.1748  1 B 1.43
F6 0.0120 0.5814 0.8252  1 B 1.43
F7 0.4186 0.9880 0.1748  1 B 1.43
F8 0.9880 0.4186 0.1748  1 B 1.43

Properties
Crystal system   trigonal
Theoretical density   2.90 Mg/m³
DFT total energy   -0.405 Ry/atom
Density of states at the Fermi level   2.75 states/eV/cell
Formation energy without anion corrections   -2900 meV per atom

# 6
A geometry-optimized CeSm2Cd2Sn2 structure, computed with PBE.

Lattice parameters (Å, degrees): 5.0042 5.0042 9.5538 74.82 74.82 60.00
With the nearest neighbours (Å) after each atom.
Element x y z (fractional)
Sn1 0.7407 0.7407 0.7780  3 Cd 2.91, 3 Sm 3.24
Sn2 0.2593 0.2593 0.2220  3 Cd 2.91, 3 Sm 3.24
Cd1 0.6062 0.6062 0.1814  3 Sn 2.91
Cd2 0.3938 0.3938 0.8186  3 Sn 2.91
Ce1 0.0000 0.0000 0.0000  6 Cd 3.33, 2 Sm 3.49, 6 Sn 3.53
Sm1 0.8722 0.8722 0.3834  4 Sn 3.24-3.59, 3 Cd 3.43, 1 Ce 3.49, 3 Sm 3.59
Sm2 0.1278 0.1278 0.6166  4 Sn 3.24-3.59, 3 Cd 3.43, 1 Ce 3.49, 3 Sm 3.59

Properties
Crystal system   trigonal
Theoretical density   7.59 Mg/m³
DFT total energy   -0.287 Ry/atom
Density of states at the Fermi level   9.88 states/eV/cell

# 7
A geometry-optimized Tm8Tl4P3S structure, computed with PBE.

Lattice parameters (Å, degrees): 7.6678 9.0119 7.6489 114.94 120.08 90.00
With the nearest neighbours (Å) after each atom.
Element x y z (fractional)
P1 0.5000 0.5000 0.5000  6 Tm 2.71-2.72
P2 0.5000 0.5000 0.0000  6 Tm 2.71
P3 0.0000 0.5000 0.5000  6 Tm 2.71-2.72
Tm1 0.2350 0.7014 0.9658  2 P 2.71, 1 S 2.74
Tm2 0.2350 0.7013 0.4700  2 P 2.71, 1 S 2.73
Tm3 0.7650 0.2987 0.5300  2 P 2.71, 1 S 2.73
Tm4 0.7650 0.2986 0.0342  2 P 2.71, 1 S 2.74
Tm5 0.7332 0.7003 0.4664  3 P 2.71-2.72
Tm6 0.2668 0.2997 0.5336  3 P 2.71-2.72
Tm7 0.2692 0.2986 0.0342  2 P 2.71, 1 S 2.74
Tm8 0.7308 0.7014 0.9658  2 P 2.71, 1 S 2.74
Tl1 0.0000 0.0000 0.5000  6 Tm 3.23-3.24
Tl2 0.0000 0.0000 0.0000  6 Tm 3.23-3.24
Tl3 0.5000 0.0000 0.5000  6 Tm 3.23-3.24
Tl4 0.5000 0.0000 0.0000  6 Tm 3.21-3.22
S1 0.0000 0.5000 0.0000  6 Tm 2.73-2.74

Properties
Crystal system   monoclinic
Theoretical density   9.54 Mg/m³
DFT total energy   -0.375 Ry/atom
Density of states at the Fermi level   8.72 states/eV/cell
Formation energy without anion corrections   -1007 meV per atom

# 8
A geometry-optimized CeAl2Ga2Au2 structure, computed with PBE.

Lattice parameters (Å, degrees): 4.4985 4.4985 8.4936 74.64 74.64 60.00
With the nearest neighbours (Å) after each atom.
Element x y z (fractional)
Au1 0.4082 0.4082 0.7754  3 Al 2.61
Au2 0.5918 0.5918 0.2246  3 Al 2.61
Ga1 0.8646 0.8646 0.4062  4 Al 2.69-2.85, 3 Au 2.98, 3 Ga 3.01
Ga2 0.1354 0.1354 0.5938  4 Al 2.69-2.85, 3 Au 2.98, 3 Ga 3.01
Al1 0.7539 0.7539 0.7384  3 Au 2.61, 4 Ga 2.69-2.85
Al2 0.2461 0.2461 0.2616  3 Au 2.61, 4 Ga 2.69-2.85
Ce1 0.0000 0.0000 0.0000  6 Au 3.17, 2 Ga 3.29, 6 Al 3.35

Properties
Crystal system   trigonal
Theoretical density   8.52 Mg/m³
DFT total energy   -0.306 Ry/atom
Density of states at the Fermi level   6.84 states/eV/cell